## Ho4Pt3 (PBE-GGA)

Data for a relaxed Ho4Pt3 crystal.

Unit cell a=7.4229 b=7.4229 c=7.4229 alpha=108.63 beta=108.63 gamma=108.63
Fractional coordinates of all 14 atoms:
Ho (0.0000, 0.0000, 0.0000)
Ho (0.1508, 0.6717, 0.2801)
Ho (0.2801, 0.1508, 0.6717)
Ho (0.3283, 0.7199, 0.8492)
Ho (0.5000, 0.5000, 0.5000)
Ho (0.6717, 0.2801, 0.1508)
Ho (0.7199, 0.8492, 0.3283)
Ho (0.8492, 0.3283, 0.7199)
Pt (0.0479, 0.2994, 0.4295)
Pt (0.2994, 0.4295, 0.0479)
Pt (0.4295, 0.0479, 0.2994)
Pt (0.5705, 0.9521, 0.7006)
Pt (0.7006, 0.5705, 0.9521)
Pt (0.9521, 0.7006, 0.5705)

Calculated values
Its crystal system is trigonal. The density of states at the Fermi level is 0.562 states/eV/atom. As for the space group: R-3 (148). Its energy relative to the elements is -8.0 eV per formula unit. As for the total magnetic moment: 0.00 μB/f.u.


## Pr4GeRh3 (PBE-GGA)

Data for a relaxed Pr4GeRh3 crystal.

Unit cell a=4.1175 b=4.2843 c=11.0072 alpha=90.00 beta=90.00 gamma=90.00
Fractional coordinates of all 8 atoms:
Pr (0.0000, 0.0000, 0.0000)
Pr (0.0000, 0.5000, 0.2757)
Pr (0.5000, 0.0000, 0.4902)
Pr (0.5000, 0.5000, 0.7784)
Ge (0.0000, 0.0000, 0.7058)
Rh (0.0000, 0.5000, 0.5625)
Rh (0.5000, 0.0000, 0.2195)
Rh (0.5000, 0.5000, 0.0479)

Calculated values
Its crystal system is orthorhombic. The density of states at the Fermi level is 0.718 states/eV/atom. As for the space group: Pmm2 (25). Its energy relative to the elements is -5.6 eV per formula unit. As for the total magnetic moment: 0.00 μB/f.u.


## TiCoSe4 (PBE-GGA)

Data for a relaxed TiCoSe4 crystal.

Unit cell a=6.8886 b=6.8886 c=6.8886 alpha=105.73 beta=105.73 gamma=117.24
Fractional coordinates of all 12 atoms:
Ti (0.0000, 0.0000, 0.0000)
Ti (0.7500, 0.2500, 0.5000)
Co (0.2706, 0.7706, 0.5000)
Co (0.5206, 0.5206, 0.0000)
Se (0.0249, 0.3326, 0.3076)
Se (0.0249, 0.7173, 0.6924)
Se (0.0826, 0.2749, 0.8076)
Se (0.4673, 0.2749, 0.1924)
Se (0.5135, 0.2224, 0.7089)
Se (0.5135, 0.8047, 0.2911)
Se (0.5547, 0.7635, 0.7911)
Se (0.9724, 0.7635, 0.2089)

Calculated values
Its crystal system is tetragonal. The density of states at the Fermi level is 0.947 states/eV/atom. As for the space group: I4_1md (109). The calculation puts the formation energy without anion corrections at -0.4398 eV/atom. As for the total magnetic moment: 0.00 μB/f.u.


## HgMo2Ir (PBE-GGA)

Data for a relaxed HgMo2Ir crystal.

Unit cell a=4.9810 b=4.9810 c=5.0223 alpha=99.66 beta=99.66 gamma=32.85
Fractional coordinates of all 4 atoms:
Hg (0.0000, 0.0000, 0.0000)
Mo (0.5080, 0.5080, 0.5056)
Mo (0.7615, 0.7615, 0.2708)
Ir (0.2373, 0.2373, 0.7173)

Calculated values
Its crystal system is monoclinic. The density of states at the Fermi level is 0.646 states/eV/atom. As for the space group: Cm (8). Its energy relative to the elements is 1.2 eV per formula unit. As for the total magnetic moment: 0.00 μB/f.u.


## SmYTlPd (PBE-GGA)

Data for a relaxed SmYTlPd crystal.

Unit cell a=5.2353 b=5.2353 c=5.2353 alpha=60.00 beta=60.00 gamma=60.00
Fractional coordinates of all 4 atoms:
Sm (0.0000, 0.0000, 0.0000)
Y (0.5000, 0.5000, 0.5000)
Tl (0.2500, 0.2500, 0.2500)
Pd (0.7500, 0.7500, 0.7500)

Calculated values
Its crystal system is cubic. The density of states at the Fermi level is 0.932 states/eV/atom. As for the space group: F-43m (216). Its energy relative to the elements is -2.1 eV per formula unit. As for the total magnetic moment: 0.00 μB/f.u.


## PaFe3 (PBE-GGA)

Data for a relaxed PaFe3 crystal.

Unit cell a=5.3496 b=5.3496 c=4.6583 alpha=90.00 beta=90.00 gamma=120.00
Fractional coordinates of all 8 atoms:
Pa (0.3333, 0.6667, 0.2500)
Pa (0.6667, 0.3333, 0.7500)
Fe (0.1566, 0.3133, 0.7500)
Fe (0.1566, 0.8434, 0.7500)
Fe (0.3133, 0.1566, 0.2500)
Fe (0.6867, 0.8434, 0.7500)
Fe (0.8434, 0.1566, 0.2500)
Fe (0.8434, 0.6867, 0.2500)

Calculated values
Its crystal system is hexagonal. The density of states at the Fermi level is 1.590 states/eV/atom. As for the space group: P6_3/mmc (194). Its energy relative to the elements is 0.0 eV per formula unit. As for the total magnetic moment: 4.63 μB/f.u.


## InSe2O6 (PBE-GGA)

Data for a relaxed InSe2O6 crystal.

Unit cell a=6.9791 b=6.9791 c=6.9791 alpha=43.87 beta=43.87 gamma=43.87
Fractional coordinates of all 9 atoms:
In (0.0000, 0.0000, 0.0000)
Se (0.5625, 0.5625, 0.5625)
Se (0.7692, 0.7692, 0.7692)
O (0.0318, 0.7499, 0.4238)
O (0.2816, 0.6182, 0.8893)
O (0.4238, 0.0318, 0.7499)
O (0.6182, 0.8893, 0.2816)
O (0.7499, 0.4238, 0.0318)
O (0.8893, 0.2816, 0.6182)

Calculated values
Its crystal system is trigonal. The density of states at the Fermi level is 0.315 states/eV/atom. As for the space group: R3 (146). The calculation puts the formation energy without anion corrections at -0.8382 eV/atom. As for the total magnetic moment: 0.94 μB/f.u.


## NaEu3H (PBE-GGA)

Data for a relaxed NaEu3H crystal.

Unit cell a=5.3965 b=5.3965 c=5.3965 alpha=90.00 beta=90.00 gamma=90.00
Fractional coordinates of all 5 atoms:
Na (0.0000, 0.0000, 0.0000)
Eu (0.0000, 0.5000, 0.5000)
Eu (0.5000, 0.0000, 0.5000)
Eu (0.5000, 0.5000, 0.0000)
H (0.5000, 0.5000, 0.5000)

Calculated values
Its crystal system is cubic. The density of states at the Fermi level is 0.776 states/eV/atom. As for the space group: Pm-3m (221). The calculated total energy comes out at -7.180 eV/atom. As for the total magnetic moment: 22.10 μB/f.u.


## TlCrSb2Te (PBE-GGA)

Data for a relaxed TlCrSb2Te crystal.

Unit cell a=5.0935 b=5.0935 c=5.6638 alpha=90.00 beta=90.00 gamma=90.00
Fractional coordinates of all 5 atoms:
Tl (0.0000, 0.0000, 0.0000)
Cr (0.5000, 0.5000, 0.5000)
Sb (0.0000, 0.5000, 0.5000)
Sb (0.5000, 0.0000, 0.5000)
Te (0.5000, 0.5000, 0.0000)

Calculated values
Its crystal system is tetragonal. The density of states at the Fermi level is 0.727 states/eV/atom. As for the space group: P4/mmm (123). The calculation puts the formation energy without anion corrections at 0.2532 eV/atom. As for the total magnetic moment: 2.06 μB/f.u.


## Cs2TaMo (PBE-GGA)

Data for a relaxed Cs2TaMo crystal.

Unit cell a=5.2525 b=5.2525 c=5.2525 alpha=60.00 beta=60.00 gamma=60.00
Fractional coordinates of all 4 atoms:
Cs (0.2500, 0.2500, 0.2500)
Cs (0.7500, 0.7500, 0.7500)
Ta (0.0000, 0.0000, 0.0000)
Mo (0.5000, 0.5000, 0.5000)

Calculated values
Its crystal system is cubic. The density of states at the Fermi level is 1.889 states/eV/atom. As for the space group: Fm-3m (225). Its energy relative to the elements is 11.4 eV per formula unit. As for the total magnetic moment: 0.00 μB/f.u.


## CaEuSn4 (PBE-GGA)

Data for a relaxed CaEuSn4 crystal.

Unit cell a=6.2879 b=6.2879 c=6.2879 alpha=60.00 beta=60.00 gamma=60.00
Fractional coordinates of all 6 atoms:
Ca (0.0000, 0.0000, 0.0000)
Eu (0.7500, 0.7500, 0.7500)
Sn (0.3749, 0.3749, 0.3749)
Sn (0.3749, 0.3749, 0.8752)
Sn (0.3749, 0.8752, 0.3749)
Sn (0.8752, 0.3749, 0.3749)

Calculated values
Its crystal system is cubic. The density of states at the Fermi level is 1.240 states/eV/atom. As for the space group: F-43m (216). Its energy relative to the elements is -2.8 eV per formula unit. As for the total magnetic moment: 6.99 μB/f.u.


## Y6Te2PbSe3 (PBE-GGA)

Data for a relaxed Y6Te2PbSe3 crystal.

Unit cell a=9.5200 b=9.5200 c=8.5522 alpha=103.53 beta=103.53 gamma=25.58
Fractional coordinates of all 12 atoms:
Y (0.0057, 0.0057, 0.2429)
Y (0.3308, 0.3308, 0.4363)
Y (0.3414, 0.3414, 0.8996)
Y (0.6586, 0.6586, 0.1004)
Y (0.6692, 0.6692, 0.5637)
Y (0.9943, 0.9943, 0.7571)
Te (0.1685, 0.1685, 0.8364)
Te (0.8315, 0.8315, 0.1636)
Pb (0.5000, 0.5000, 0.5000)
Se (0.1684, 0.1684, 0.3325)
Se (0.5000, 0.5000, 0.0000)
Se (0.8316, 0.8316, 0.6675)

Calculated values
Its crystal system is monoclinic. The density of states at the Fermi level is 0.401 states/eV/atom. As for the space group: C2/m (12). The calculation puts the formation energy without anion corrections at -1.4263 eV/atom. As for the total magnetic moment: 0.00 μB/f.u.


## NaAg2Au2 (PBE-GGA)

Data for a relaxed NaAg2Au2 crystal.

Unit cell a=7.3468 b=7.3468 c=7.3468 alpha=148.49 beta=148.49 gamma=45.16
Fractional coordinates of all 5 atoms:
Na (0.0000, 0.0000, 0.0000)
Ag (0.4005, 0.4005, 0.0000)
Ag (0.5995, 0.5995, 0.0000)
Au (0.2500, 0.7500, 0.5000)
Au (0.7500, 0.2500, 0.5000)

Calculated values
Its crystal system is tetragonal. The density of states at the Fermi level is 0.254 states/eV/atom. As for the space group: I4/mmm (139). Its energy relative to the elements is -0.1 eV per formula unit. As for the total magnetic moment: 0.00 μB/f.u.